# 1
Compound: LiHgAs2
Source: Alexandria via LeMat-Bulk
Functional: GGA-PBEsol
Structure: optimized geometry

Cell: 6.7269 6.7269 6.7269 Å, 90.00 90.00 90.00°
Closest atoms and distances in Å follow each position.
Space group F-43m (No. 216)
One atom of each set of equivalent atoms:
Li (0.0000, 0.0000, 0.0000) [4 per cell]  4 Hg 2.91, 4 As 2.91
Hg (0.2500, 0.2500, 0.2500) [4 per cell]  4 As 2.91, 4 Li 2.91
As (0.0000, 0.0000, 0.5000) [4 per cell]  4 As 2.91, 4 Hg 2.91
As (0.2500, 0.2500, 0.7500) [4 per cell]  4 As 2.91, 4 Li 2.91

Summary:
Its crystal system is cubic. The value obtained for the total energy is -3.16 eV per atom.

---

# 2
Compound: AlFe2Si
Source: Alexandria via LeMat-Bulk
Functional: GGA-PBEsol
Structure: optimized geometry

Cell: 5.5437 5.5437 5.5437 Å, 90.00 90.00 90.00°
Closest atoms and distances in Å follow each position.
Space group Fm-3m (No. 225)
One atom of each set of equivalent atoms:
Al (0.0000, 0.0000, 0.0000) [4 per cell]  8 Fe 2.40
Fe (0.2500, 0.2500, 0.2500) [8 per cell]  4 Al 2.40, 4 Si 2.40
Si (0.0000, 0.0000, 0.5000) [4 per cell]  8 Fe 2.40

Summary:
Its crystal system is cubic. Its energy relative to the elements, uncorrected is -210.1 kJ/mol of formula units.

---

# 3
Compound: Tc2MoW
Source: Alexandria via LeMat-Bulk
Functional: GGA-PBEsol
Structure: optimized geometry

Cell: 4.3782 4.3782 3.0851 Å, 90.00 90.00 90.00°
Closest atoms and distances in Å follow each position.
Space group P4/mmm (No. 123)
One atom of each set of equivalent atoms:
Tc (0.0000, 0.5000, 0.0000) [2 per cell]  4 W 2.68, 4 Mo 2.68
Mo (0.0000, 0.0000, 0.5000) [1 per cell]  8 Tc 2.68
W (0.5000, 0.5000, 0.5000) [1 per cell]  8 Tc 2.68

Summary:
As for the excess energy over the best structure of this formula in the dataset: 0.85 kJ per mole of atoms. Its crystal system is tetragonal.

---

# 4
Compound: Sc2Be
Source: Alexandria via LeMat-Bulk
Functional: GGA-PBEsol
Structure: optimized geometry

Cell: 4.5268 4.5268 6.1148 Å, 90.00 90.00 120.00°
Closest atoms and distances in Å follow each position.
Space group P6_3/mmc (No. 194)
One atom of each set of equivalent atoms:
Sc (0.0000, 0.0000, 0.0000) [2 per cell]  6 Be 3.03, 8 Sc 3.03-3.06
Sc (0.3333, 0.6667, 0.2500) [2 per cell]  3 Be 2.61
Be (0.3333, 0.6667, 0.7500) [2 per cell]  3 Sc 2.61

Summary:
As for the excess energy over the best structure of this formula in the dataset: 4.68 kJ per mole of atoms. Its crystal system is hexagonal.

---

# 5
Compound: Cs2CdFeC6N6
Source: Alexandria via LeMat-Bulk
Functional: GGA-PBEsol
Structure: optimized geometry

Cell: 10.6555 10.6555 10.6555 Å, 90.00 90.00 90.00°
Closest atoms and distances in Å follow each position.
Space group Fm-3m (No. 225)
One atom of each set of equivalent atoms:
Cs (0.2500, 0.2500, 0.2500) [8 per cell]  12 N 3.78, 12 C 3.85
Cd (0.0000, 0.0000, 0.0000) [4 per cell]  6 N 2.30
Fe (0.0000, 0.0000, 0.5000) [4 per cell]  6 C 1.85
C (0.0000, 0.0000, 0.3265) [24 per cell]  1 N 1.18
N (0.0000, 0.0000, 0.2158) [24 per cell]  1 C 1.18

Summary:
Its crystal system is cubic. Its energy relative to the elements, uncorrected is -184.6 kJ/mol of formula units.

---

# 6
Compound: Tc2AgSb
Source: Alexandria via LeMat-Bulk
Functional: GGA-PBEsol
Structure: optimized geometry

Cell: 2.9805 3.7380 5.9555 Å, 90.00 90.00 90.00°
Closest atoms and distances in Å follow each position.
Space group Pmm2 (No. 25)
One atom of each set of equivalent atoms:
Tc (0.0000, 0.0000, 0.0000) [1 per cell]  4 Tc 2.66, 1 Ag 2.71, 4 Sb 2.86
Tc (0.5000, 0.5000, 0.1946) [1 per cell]  4 Tc 2.66, 1 Sb 2.73, 4 Ag 2.85
Ag (0.0000, 0.0000, 0.4555) [1 per cell]  5 Tc 2.71-2.85, 4 Sb 2.92, 2 Ag 2.98
Sb (0.5000, 0.5000, 0.7359) [1 per cell]  5 Tc 2.73-2.86, 4 Ag 2.92, 2 Sb 2.98

Summary:
Its crystal system is orthorhombic. Its energy relative to the elements, uncorrected is 136.1 kJ/mol of formula units.

---

Repeat the second record exactly.
Compound: AlFe2Si
Source: Alexandria via LeMat-Bulk
Functional: GGA-PBEsol
Structure: optimized geometry

Cell: 5.5437 5.5437 5.5437 Å, 90.00 90.00 90.00°
Closest atoms and distances in Å follow each position.
Space group Fm-3m (No. 225)
One atom of each set of equivalent atoms:
Al (0.0000, 0.0000, 0.0000) [4 per cell]  8 Fe 2.40
Fe (0.2500, 0.2500, 0.2500) [8 per cell]  4 Al 2.40, 4 Si 2.40
Si (0.0000, 0.0000, 0.5000) [4 per cell]  8 Fe 2.40

Summary:
Its crystal system is cubic. Its energy relative to the elements, uncorrected is -210.1 kJ/mol of formula units.

---

What is the formula in the sixth record?
Tc2AgSb